Material: PrBO3
Method: DFT, PBE
State: relaxed

Output
volume: 16.5 Å³/atom
raw total energy: -8.133 eV/atom

Cell lengths 5.3162, 5.3162, 6.7253 Å; angles 90.00, 90.00, 120.00 degrees
Last column: nearest neighbours and their distance in Å.
Atoms (fractional coordinates):
Pr: 0.0000 0.0000 0.0000  6 O 2.38
Pr: 0.0000 0.0000 0.5000  6 O 2.38
B: 0.3333 0.6667 0.2500  3 O 1.38
B: 0.6667 0.3333 0.7500  3 O 1.38
O: 0.1836 0.3672 0.2500  1 B 1.38
O: 0.1836 0.8164 0.2500  1 B 1.38
O: 0.3672 0.1836 0.7500  1 B 1.38
O: 0.6328 0.8164 0.2500  1 B 1.38
O: 0.8164 0.1836 0.7500  1 B 1.38
O: 0.8164 0.6328 0.7500  1 B 1.38